## w
Entry from Alexandria via LeMat-Bulk: an optimized crystal structure of LaDy4Er (PBE).

Properties
Its space-group type is F-43m, No. 216.

Geometry as POSCAR:
```
LaDy4Er
1.0
-5.2200 0.5719 -4.0126
0.8624 0.0886 -6.5517
-1.9363 -5.1525 -3.6578
Dy Er La
4 1 1
direct
0.6256 0.1233 0.6256
0.6256 0.6256 0.1233
0.1233 0.6256 0.6256
0.6256 0.6256 0.6256
0.0000 0.0000 0.0000
0.2500 0.2500 0.2500
```


## x
Entry from Alexandria via LeMat-Bulk: an optimized crystal structure of LaDy4Er (PBE).

Properties
Its space-group type is C2/m, No. 12.

Geometry as POSCAR:
```
LaDy4Er
1.0
-0.6614 1.5058 3.0085
-6.0413 0.2413 0.5048
-0.2141 -8.1920 6.0068
Er Dy La
1 4 1
direct
0.0000 0.0000 0.0000
0.1535 0.0343 0.6587
0.3455 0.4609 0.8481
0.8465 0.9657 0.3413
0.6545 0.5391 0.1519
0.5000 0.5000 0.5000
```


Which one is most stable, and which one is least stable? x is the most stable of them, while w is the least stable.


## w
Entry from Alexandria via LeMat-Bulk: an optimized crystal structure of La7DyEr3 (PBE).

Properties
Its space-group type is P1, No. 1.

Geometry as POSCAR:
```
La7DyEr3
1.0
9.7512 -2.4835 -2.4307
-5.6869 8.2669 1.8546
-3.1765 1.0783 12.4484
La Er Dy
14 6 2
direct
0.0684 0.4211 0.4190
0.1914 0.5894 0.9645
0.4225 0.0810 0.4978
0.1277 0.8053 0.2572
0.6313 0.9184 0.5246
0.8094 0.4548 0.0364
0.7068 0.0473 0.0155
0.8491 0.7480 0.7640
0.1871 0.2508 0.2307
0.3095 0.9955 0.0029
0.7134 0.6965 0.2477
0.9004 0.2287 0.7591
0.2867 0.3241 0.7226
0.9558 0.5964 0.5524
0.4377 0.7525 0.7594
0.8921 0.8977 0.9927
0.5144 0.8509 0.2539
0.5964 0.2740 0.2606
0.0145 0.0061 0.4922
0.4829 0.1536 0.7545
0.5131 0.5009 0.4944
0.3894 0.4067 0.9978
```


## x
Entry from Alexandria via LeMat-Bulk: an optimized crystal structure of La7DyEr3 (PBE).

Properties
Its space-group type is Immm, No. 71.

Geometry as POSCAR:
```
La7DyEr3
1.0
-5.7272 1.5674 -0.8617
0.9146 -3.9271 7.6655
4.3464 6.4725 3.7729
Dy La Er
1 7 3
direct
0.5000 0.5000 0.5000
0.6929 0.4056 0.9803
0.7904 0.7907 0.7907
0.6929 0.9803 0.4056
0.2096 0.2093 0.2093
0.3071 0.5944 0.0197
0.3071 0.0197 0.5944
0.0000 0.5000 0.5000
0.0000 0.7950 0.2050
0.5000 0.0000 0.0000
0.0000 0.2050 0.7950
```


Which one is most stable, and which one is least stable? w is the most stable of them, while x is the least stable.